1.
The following is a PBEsol calculation of crystalline MgSc2Tl at its relaxed geometry, from Alexandria.

## Properties
The calculated total energy is -4.58 eV per atom.

Cell: 4.646 6.096 6.096 Å, 31.86 90.00 90.00°
Element x y z (fractional)
Mg1 0.000 0.000 0.000
Sc1 0.000 0.255 0.255
Sc2 0.500 0.604 0.604
Tl1 0.500 0.856 0.856

=====

2.
The following is a PBEsol calculation of crystalline MgScTl at its relaxed geometry, from Alexandria.

## Properties
The calculated total energy is -3.80 eV per atom.

Cell: 4.743 4.743 4.743 Å, 60.00 60.00 60.00°
Element x y z (fractional)
Mg1 0.000 0.000 0.000
Sc1 0.500 0.500 0.500
Tl1 0.250 0.250 0.250

=====

3.
The following is a PBEsol calculation of crystalline MgSc2Tl at its relaxed geometry, from Alexandria.

## Properties
The calculated total energy is -4.62 eV per atom.

Cell: 3.283 4.242 6.371 Å, 90.00 90.00 90.00°
Element x y z (fractional)
Mg1 0.000 0.000 0.000
Sc1 0.500 0.500 0.254
Sc2 0.500 0.500 0.746
Tl1 0.000 0.000 0.500

=====

4.
The following is a PBEsol calculation of crystalline MgSc2Tl at its relaxed geometry, from Alexandria.

## Properties
The calculated total energy is -4.63 eV per atom.

Cell: 4.989 4.989 4.989 Å, 60.00 60.00 60.00°
Element x y z (fractional)
Mg1 0.000 0.000 0.000
Sc1 0.250 0.250 0.250
Sc2 0.750 0.750 0.750
Tl1 0.500 0.500 0.500

=====

5.
The following is a PBEsol calculation of crystalline MgSc2Tl at its relaxed geometry, from Alexandria.

## Properties
The calculated total energy is -4.63 eV per atom.

Cell: 5.283 5.283 5.283 Å, 128.49 128.49 75.84°
Element x y z (fractional)
Mg1 0.000 0.000 0.000
Sc1 0.250 0.750 0.500
Sc2 0.750 0.250 0.500
Tl1 0.500 0.500 0.000

=====

6.
The following is a PBEsol calculation of crystalline MgScTl2 at its relaxed geometry, from Alexandria.

## Properties
The calculated total energy is -3.56 eV per atom.

Cell: 5.043 5.043 5.919 Å, 100.94 100.94 39.75°
Element x y z (fractional)
Mg1 0.000 0.000 0.000
Sc1 0.500 0.500 0.500
Tl1 0.253 0.253 0.752
Tl2 0.747 0.747 0.248

=====

7.
The following is a PBEsol calculation of crystalline MgScTl2 at its relaxed geometry, from Alexandria.

## Properties
The calculated total energy is -3.53 eV per atom.

Cell: 9.687 9.687 9.687 Å, 20.24 20.24 20.24°
Element x y z (fractional)
Mg1 0.000 0.000 0.000
Sc1 0.500 0.500 0.500
Tl1 0.250 0.250 0.250
Tl2 0.750 0.750 0.750

=====

8.
The following is a PBEsol calculation of crystalline MgScTl at its relaxed geometry, from Alexandria.

## Properties
The calculated total energy is -3.43 eV per atom.

Cell: 4.805 4.805 4.805 Å, 60.00 60.00 60.00°
Element x y z (fractional)
Mg1 0.000 0.000 0.000
Sc1 0.750 0.750 0.750
Tl1 0.500 0.500 0.500

=====

9.
The following is a PBEsol calculation of crystalline MgSc2Tl at its relaxed geometry, from Alexandria.

## Properties
The calculated total energy is -4.66 eV per atom.

Cell: 4.536 4.536 4.246 Å, 90.00 90.00 90.00°
Element x y z (fractional)
Mg1 0.000 0.000 0.000
Sc1 0.000 0.500 0.500
Sc2 0.500 0.000 0.500
Tl1 0.500 0.500 0.000

=====

10.
The following is a PBEsol calculation of crystalline MgSc2Tl at its relaxed geometry, from Alexandria.

## Properties
The calculated total energy is -4.56 eV per atom.

Cell: 6.007 6.007 6.007 Å, 146.03 131.23 60.76°
Element x y z (fractional)
Mg1 0.000 0.000 0.000
Sc1 0.480 0.480 0.000
Sc2 0.737 0.237 0.500
Tl1 0.227 0.727 0.500

=====

11.
The following is a PBEsol calculation of crystalline MgScTl2 at its relaxed geometry, from Alexandria.

## Properties
The calculated total energy is -3.58 eV per atom.

Cell: 5.996 5.996 5.069 Å, 109.30 109.30 33.11°
Element x y z (fractional)
Mg1 0.000 0.000 0.000
Sc1 0.249 0.249 0.610
Tl1 0.506 0.506 0.516
Tl2 0.757 0.757 0.119

=====

12.
The following is a PBEsol calculation of crystalline MgScTl at its relaxed geometry, from Alexandria.

## Properties
The calculated total energy is -3.87 eV per atom.

Cell: 4.804 4.804 3.338 Å, 90.00 90.00 120.00°
Element x y z (fractional)
Mg1 0.000 0.000 0.000
Sc1 0.333 0.667 0.498
Tl1 0.667 0.333 0.992

=====

13.
The following is a PBEsol calculation of crystalline MgScTl2 at its relaxed geometry, from Alexandria.

## Properties
The calculated total energy is -3.35 eV per atom.

Cell: 5.162 5.162 5.162 Å, 60.00 60.00 60.00°
Element x y z (fractional)
Mg1 0.000 0.000 0.000
Sc1 0.750 0.750 0.750
Tl1 0.250 0.250 0.250
Tl2 0.500 0.500 0.500

=====

14.
The following is a PBEsol calculation of crystalline MgSc2Tl at its relaxed geometry, from Alexandria.

## Properties
The calculated total energy is -4.50 eV per atom.

Cell: 3.701 3.701 6.650 Å, 90.00 90.00 90.00°
Element x y z (fractional)
Mg1 0.000 0.000 0.000
Sc1 0.000 0.000 0.504
Sc2 0.500 0.500 0.253
Tl1 0.500 0.500 0.756

=====

15.
The following is a PBEsol calculation of crystalline MgScTl2 at its relaxed geometry, from Alexandria.

## Properties
The calculated total energy is -3.66 eV per atom.

Cell: 4.571 4.571 4.260 Å, 90.00 90.00 90.00°
Element x y z (fractional)
Mg1 0.000 0.000 0.000
Sc1 0.500 0.500 0.000
Tl1 0.000 0.500 0.500
Tl2 0.500 0.000 0.500

=====

16.
The following is a PBEsol calculation of crystalline MgScTl2 at its relaxed geometry, from Alexandria.

## Properties
The calculated total energy is -3.57 eV per atom.

Cell: 5.806 5.806 5.806 Å, 136.32 136.32 63.49°
Element x y z (fractional)
Mg1 0.000 0.000 0.000
Sc1 0.750 0.250 0.500
Tl1 0.250 0.750 0.500
Tl2 0.500 0.500 0.000